1.
LiCe2Nd3Se6 | PBE-GGA | optimized geometry

a = 7.2419 Å, b = 12.5731 Å, c = 7.2777 Å
α = 90.00°, β = 109.58°, γ = 90.00°
Space group C2/m (No. 12)
Unique sites:
1 Li 0.0000 0.0000 0.0000 [2 per cell]
2 Ce 0.0000 0.3346 0.0000 [4 per cell]
3 Nd 0.0000 0.1673 0.5000 [4 per cell]
4 Nd 0.0000 0.5000 0.5000 [2 per cell]
5 Se 0.2420 0.1621 0.2413 [8 per cell]
6 Se 0.2427 0.0000 0.7585 [4 per cell]

Calculated values
Magnetic moment   1.95 μB/f.u.
Crystal system   monoclinic
E_tot   -140.6 eV/cell

***

2.
Hf3CoRh2 | PBE-GGA | optimized geometry

a = 4.5747 Å, b = 4.5747 Å, c = 11.2140 Å
α = 90.00°, β = 90.00°, γ = 120.00°
Space group P-3m1 (No. 164)
Unique sites:
1 Hf 0.0000 0.0000 0.2447 [2 per cell]
2 Hf 0.3333 0.6667 0.4114 [2 per cell]
3 Hf 0.3333 0.6667 0.9171 [2 per cell]
4 Co 0.3333 0.6667 0.1661 [2 per cell]
5 Rh 0.0000 0.0000 0.0000 [1 per cell]
6 Rh 0.0000 0.0000 0.5000 [1 per cell]
7 Rh 0.3333 0.6667 0.6657 [2 per cell]

Calculated values
Energy above the lowest structure with this stoichiometry   9.9 meV/atom
Magnetic moment   0.72 μB/f.u.
Crystal system   trigonal
E_tot   -111.7 eV/cell

***

3.
TlCr2Ir | PBE-GGA | optimized geometry

a = 2.9371 Å, b = 2.9371 Å, c = 7.5620 Å
α = 90.00°, β = 90.00°, γ = 90.00°
Space group P4mm (No. 99)
Unique sites:
1 Tl 0.0000 0.0000 0.0000 [1 per cell]
2 Cr 0.0000 0.0000 0.5039 [1 per cell]
3 Cr 0.5000 0.5000 0.3011 [1 per cell]
4 Ir 0.5000 0.5000 0.7049 [1 per cell]

Calculated values
Energy above the lowest structure with this stoichiometry   0.0 meV/atom
Magnetic moment   1.24 μB/f.u.
Crystal system   tetragonal
E_tot   -29.0 eV/cell

***

4.
Ca2Cd7In | PBE-GGA | optimized geometry

a = 10.8759 Å, b = 10.8759 Å, c = 10.8759 Å
α = 90.00°, β = 90.00°, γ = 90.00°
Space group Fm-3m (No. 225)
Unique sites:
1 Ca 0.2500 0.2500 0.2500 [8 per cell]
2 Cd 0.0000 0.0000 0.0000 [4 per cell]
3 Cd 0.0000 0.0000 0.2478 [24 per cell]
4 In 0.0000 0.0000 0.5000 [4 per cell]

Calculated values
Magnetic moment   0.00 μB/f.u.
Crystal system   cubic
E_tot   -46.4 eV/cell

***

5.
LiInBr2 | PBE-GGA | optimized geometry

a = 7.6994 Å, b = 7.6994 Å, c = 7.6994 Å
α = 90.00°, β = 90.00°, γ = 90.00°
Space group F-43m (No. 216)
Unique sites:
1 Li 0.0000 0.0000 0.0000 [4 per cell]
2 In 0.2500 0.2500 0.2500 [4 per cell]
3 Br 0.0000 0.0000 0.5000 [4 per cell]
4 Br 0.2500 0.2500 0.7500 [4 per cell]

Calculated values
Energy above the lowest structure with this stoichiometry   543.5 meV/atom
Magnetic moment   0.00 μB/f.u.
Crystal system   cubic
E_tot   -40.3 eV/cell

***

6.
Cu2TeAs | PBE-GGA | optimized geometry

a = 3.8799 Å, b = 5.2498 Å, c = 7.2693 Å
α = 90.00°, β = 90.00°, γ = 90.00°
Space group Cmmm (No. 65)
Unique sites:
1 Cu 0.0000 0.0000 0.2159 [4 per cell]
2 Te 0.0000 0.5000 0.5000 [2 per cell]
3 As 0.0000 0.5000 0.0000 [2 per cell]

Calculated values
Energy above the lowest structure with this stoichiometry   269.1 meV/atom
Magnetic moment   0.00 μB/f.u.
Crystal system   orthorhombic
E_tot   -29.3 eV/cell

***

7.
Rb2RePH | PBE-GGA | optimized geometry

a = 6.3892 Å, b = 6.3892 Å, c = 3.2987 Å
α = 90.00°, β = 90.00°, γ = 90.00°
Space group P4/mmm (No. 123)
Unique sites:
1 Rb 0.0000 0.5000 0.0000 [2 per cell]
2 Re 0.0000 0.0000 0.5000 [1 per cell]
3 P 0.5000 0.5000 0.5000 [1 per cell]
4 H 0.5000 0.5000 0.0000 [1 per cell]

Calculated values
Magnetic moment   4.23 μB/f.u.
Crystal system   tetragonal
E_tot   -17.1 eV/cell

***

8.
ZrTc2Rh | PBE-GGA | optimized geometry

a = 5.5519 Å, b = 8.0945 Å, c = 2.8559 Å
α = 90.00°, β = 90.00°, γ = 90.00°
Space group Cmmm (No. 65)
Unique sites:
1 Zr 0.0000 0.0000 0.0000 [2 per cell]
2 Tc 0.2500 0.2500 0.5000 [4 per cell]
3 Rh 0.0000 0.5000 0.0000 [2 per cell]

Calculated values
Energy above the lowest structure with this stoichiometry   158.6 meV/atom
Magnetic moment   0.00 μB/f.u.
Crystal system   orthorhombic
E_tot   -73.3 eV/cell

***

9.
Li7Hg3 | PBE-GGA | optimized geometry

a = 14.9127 Å, b = 4.3365 Å, c = 5.7401 Å
α = 90.00°, β = 106.56°, γ = 90.00°
Space group C2/m (No. 12)
Unique sites:
1 Li 0.0000 0.0000 0.0000 [2 per cell]
2 Li 0.1004 0.5000 0.3223 [4 per cell]
3 Li 0.1051 0.5000 0.8200 [4 per cell]
4 Li 0.2002 0.0000 0.6275 [4 per cell]
5 Hg 0.0000 0.0000 0.5000 [2 per cell]
6 Hg 0.1962 0.0000 0.1347 [4 per cell]

Calculated values
Magnetic moment   0.00 μB/f.u.
Crystal system   monoclinic
E_tot   -34.5 eV/cell

***

10.
Y2AsBr | PBE-GGA | optimized geometry

a = 7.1951 Å, b = 7.1951 Å, c = 7.1951 Å
α = 90.00°, β = 90.00°, γ = 90.00°
Space group Fm-3m (No. 225)
Unique sites:
1 Y 0.2500 0.2500 0.2500 [8 per cell]
2 As 0.0000 0.0000 0.0000 [4 per cell]
3 Br 0.0000 0.0000 0.5000 [4 per cell]

Calculated values
Magnetic moment   1.21 μB/f.u.
Crystal system   cubic
E_tot   -94.6 eV/cell

***

11.
LiMg3F | PBE-GGA | optimized geometry

a = 4.5822 Å, b = 4.5822 Å, c = 4.5822 Å
α = 90.00°, β = 90.00°, γ = 90.00°
Space group Pm-3m (No. 221)
Unique sites:
1 Li 0.0000 0.0000 0.0000 [1 per cell]
2 Mg 0.0000 0.5000 0.5000 [3 per cell]
3 F 0.5000 0.5000 0.5000 [1 per cell]

Calculated values
Energy above the lowest structure with this stoichiometry   0.0 meV/atom
Magnetic moment   0.00 μB/f.u.
Crystal system   cubic
E_tot   -12.2 eV/cell

***

12.
BaBiNO2 | PBE-GGA | optimized geometry

a = 4.4129 Å, b = 4.4129 Å, c = 4.3286 Å
α = 90.00°, β = 90.00°, γ = 90.00°
Space group P4/mmm (No. 123)
Unique sites:
1 Ba 0.0000 0.0000 0.0000 [1 per cell]
2 Bi 0.5000 0.5000 0.5000 [1 per cell]
3 N 0.5000 0.5000 0.0000 [1 per cell]
4 O 0.0000 0.5000 0.5000 [2 per cell]

Calculated values
Magnetic moment   0.28 μB/f.u.
Crystal system   tetragonal
E_tot   -28.6 eV/cell